# 1
# FeCoBrCl4

A geometry-optimized FeCoBrCl4 structure (PBE-GGA, the Alexandria database).

Output
ΔE_f (raw) in meV/atom: -577

CIF file:
```
data_FeCoBrCl4
_symmetry_space_group_name_H-M 'C 1 2/m 1'
_symmetry_Int_Tables_number 12
_cell_length_a 13.086
_cell_length_b 7.431
_cell_length_c 11.382
_cell_angle_alpha 90.00
_cell_angle_beta 124.62
_cell_angle_gamma 90.00
loop_
_symmetry_equiv_pos_as_xyz
'x,y,z'
'-x,-y,-z'
'-x,y,-z'
'x,-y,z'
'x+1/2,y+1/2,z'
'-x+1/2,-y+1/2,-z'
'-x+1/2,y+1/2,-z'
'x+1/2,-y+1/2,z'
loop_
_atom_site_label
_atom_site_fract_x
_atom_site_fract_y
_atom_site_fract_z
_atom_site_occupancy
Fe1 0.153 0.000 0.364 1
Co1 0.079 0.500 0.198 1
Br1 0.147 0.500 0.046 1
Cl1 0.020 0.238 0.252 1
Cl2 0.195 0.500 0.657 1
Cl3 0.207 0.000 0.589 1
```

=====

# 2
# Be2NiBr

A geometry-optimized Be2NiBr structure (PBE-GGA, the Alexandria database).

Output
ΔE to the lowest computed polymorph in eV/atom: 0.190
ΔE_f (raw) in meV/atom: 254

CIF file:
```
data_Be2NiBr
_symmetry_space_group_name_H-M 'I m m 2'
_symmetry_Int_Tables_number 44
_cell_length_a 3.022
_cell_length_b 3.222
_cell_length_c 12.085
_cell_angle_alpha 90.00
_cell_angle_beta 90.00
_cell_angle_gamma 90.00
loop_
_symmetry_equiv_pos_as_xyz
'x,y,z'
'-x,-y,z'
'-x,y,z'
'x,-y,z'
'x+1/2,y+1/2,z+1/2'
'-x+1/2,-y+1/2,z+1/2'
'-x+1/2,y+1/2,z+1/2'
'x+1/2,-y+1/2,z+1/2'
loop_
_atom_site_label
_atom_site_fract_x
_atom_site_fract_y
_atom_site_fract_z
_atom_site_occupancy
Be1 0.000 0.000 0.000 1
Be2 0.000 0.500 0.147 1
Ni1 0.000 0.500 0.637 1
Br1 0.000 0.000 0.388 1
```

=====

# 3
# Sn2As2Pb

A geometry-optimized Sn2As2Pb structure (PBE-GGA, the Alexandria database).

Output
ΔE to the lowest computed polymorph in eV/atom: 0.151
Formation energy in eV per atom: 0.0694

CIF file:
```
data_Sn2As2Pb
_symmetry_space_group_name_H-M 'P 4/m b m'
_symmetry_Int_Tables_number 127
_symmetry_space_group_name_Hall '-P 4 2ab'
_cell_length_a 8.170
_cell_length_b 8.170
_cell_length_c 3.833
_cell_angle_alpha 90.00
_cell_angle_beta 90.00
_cell_angle_gamma 90.00
loop_
_atom_site_label
_atom_site_fract_x
_atom_site_fract_y
_atom_site_fract_z
_atom_site_occupancy
Sn1 0.147 0.353 0.000 1
As1 0.150 0.650 0.500 1
Pb1 0.000 0.000 0.500 1
```

=====

# 4
# Rb6H3Au2Br

A geometry-optimized Rb6H3Au2Br structure (PBE-GGA, the Alexandria database).

Output
Uncorrected energy in Ha/atom: -0.08989

CIF file:
```
data_Rb6H3Au2Br
_symmetry_space_group_name_H-M 'C 1 2/m 1'
_symmetry_Int_Tables_number 12
_cell_length_a 20.381
_cell_length_b 4.572
_cell_length_c 9.380
_cell_angle_alpha 90.00
_cell_angle_beta 105.47
_cell_angle_gamma 90.00
loop_
_symmetry_equiv_pos_as_xyz
'x,y,z'
'-x,-y,-z'
'-x,y,-z'
'x,-y,z'
'x+1/2,y+1/2,z'
'-x+1/2,-y+1/2,-z'
'-x+1/2,y+1/2,-z'
'x+1/2,-y+1/2,z'
loop_
_atom_site_label
_atom_site_fract_x
_atom_site_fract_y
_atom_site_fract_z
_atom_site_occupancy
Rb1 0.004 0.000 0.233 1
Rb2 0.155 0.500 0.112 1
Rb3 0.174 0.500 0.571 1
H1 0.000 0.500 0.000 1
H2 0.164 0.000 0.340 1
Au1 0.172 0.000 0.849 1
Br1 0.000 0.500 0.500 1
```

=====

# 5
# Tb2UPbS8

A geometry-optimized Tb2UPbS8 structure (PBE-GGA, the Alexandria database).

Output
ΔE_f (raw) in meV/atom: -1174

CIF file:
```
data_Tb2UPbS8
_symmetry_space_group_name_H-M 'P -1'
_symmetry_Int_Tables_number 2
_cell_length_a 5.622
_cell_length_b 6.735
_cell_length_c 8.331
_cell_angle_alpha 90.03
_cell_angle_beta 90.15
_cell_angle_gamma 90.97
loop_
_symmetry_equiv_pos_as_xyz
'x,y,z'
'-x,-y,-z'
loop_
_atom_site_label
_atom_site_fract_x
_atom_site_fract_y
_atom_site_fract_z
_atom_site_occupancy
Tb1 0.001 0.000 0.268 1
U1 0.500 0.500 0.500 1
Pb1 0.500 0.500 0.000 1
S1 0.245 0.356 0.276 1
S2 0.246 0.354 0.723 1
S3 0.255 0.831 0.501 1
S4 0.331 0.929 0.000 1
```

=====

# 6
# KCo2Hg

A geometry-optimized KCo2Hg structure (PBE-GGA, the Alexandria database).

Output
Formation energy in eV per atom: 0.9971

CIF file:
```
data_KCo2Hg
_symmetry_space_group_name_H-M 'P m m m'
_symmetry_Int_Tables_number 47
_cell_length_a 2.839
_cell_length_b 5.166
_cell_length_c 5.250
_cell_angle_alpha 90.00
_cell_angle_beta 90.00
_cell_angle_gamma 90.00
loop_
_symmetry_equiv_pos_as_xyz
'x,y,z'
'-x,-y,-z'
'-x,-y,z'
'x,y,-z'
'x,-y,-z'
'-x,y,z'
'-x,y,-z'
'x,-y,z'
loop_
_atom_site_label
_atom_site_fract_x
_atom_site_fract_y
_atom_site_fract_z
_atom_site_occupancy
K1 0.000 0.000 0.000 1
Co1 0.000 0.500 0.500 1
Co2 0.500 0.500 0.000 1
Hg1 0.500 0.000 0.500 1
```

=====

# 7
# CaDyTl6

A geometry-optimized CaDyTl6 structure (PBE-GGA, the Alexandria database).

Output
Formation energy in eV per atom: -0.2302

CIF file:
```
data_CaDyTl6
_symmetry_space_group_name_H-M 'P 4/m m m'
_symmetry_Int_Tables_number 123
_symmetry_space_group_name_Hall '-P 4 2'
_cell_length_a 4.799
_cell_length_b 4.799
_cell_length_c 9.659
_cell_angle_alpha 90.00
_cell_angle_beta 90.00
_cell_angle_gamma 90.00
loop_
_atom_site_label
_atom_site_fract_x
_atom_site_fract_y
_atom_site_fract_z
_atom_site_occupancy
Ca1 0.000 0.000 0.000 1
Dy1 0.000 0.000 0.500 1
Tl1 0.000 0.500 0.253 1
Tl2 0.500 0.500 0.000 1
Tl3 0.500 0.500 0.500 1
```

=====

# 8
# PmCdInBi

A geometry-optimized PmCdInBi structure (PBE-GGA, the Alexandria database).

Output
ΔE to the lowest computed polymorph in eV/atom: 0.000
Formation energy in eV per atom: -0.4349

CIF file:
```
data_PmCdInBi
_symmetry_space_group_name_H-M 'P m m m'
_symmetry_Int_Tables_number 47
_cell_length_a 4.596
_cell_length_b 4.760
_cell_length_c 4.962
_cell_angle_alpha 90.00
_cell_angle_beta 90.00
_cell_angle_gamma 90.00
loop_
_symmetry_equiv_pos_as_xyz
'x,y,z'
'-x,-y,-z'
'-x,-y,z'
'x,y,-z'
'x,-y,-z'
'-x,y,z'
'-x,y,-z'
'x,-y,z'
loop_
_atom_site_label
_atom_site_fract_x
_atom_site_fract_y
_atom_site_fract_z
_atom_site_occupancy
Pm1 0.000 0.000 0.000 1
Cd1 0.000 0.500 0.500 1
In1 0.500 0.000 0.500 1
Bi1 0.500 0.500 0.000 1
```

=====

# 9
# CrNiPt

A geometry-optimized CrNiPt structure (PBE-GGA, the Alexandria database).

Output
ΔE to the lowest computed polymorph in eV/atom: 0.412
Formation energy in eV per atom: 0.2586

CIF file:
```
data_CrNiPt
_symmetry_space_group_name_H-M 'F -4 3 m'
_symmetry_Int_Tables_number 216
_symmetry_space_group_name_Hall 'F -4 2 3'
_cell_length_a 5.663
_cell_length_b 5.663
_cell_length_c 5.663
_cell_angle_alpha 90.00
_cell_angle_beta 90.00
_cell_angle_gamma 90.00
loop_
_atom_site_label
_atom_site_fract_x
_atom_site_fract_y
_atom_site_fract_z
_atom_site_occupancy
Cr1 0.000 0.000 0.000 1
Ni1 0.250 0.250 0.250 1
Pt1 0.250 0.250 0.750 1
```

=====

# 10
# MgZnCd2

A geometry-optimized MgZnCd2 structure (PBE-GGA, the Alexandria database).

Output
ΔE to the lowest computed polymorph in eV/atom: 0.002
Formation energy in eV per atom: -0.0192

CIF file:
```
data_MgZnCd2
_symmetry_space_group_name_H-M 'I -4 m 2'
_symmetry_Int_Tables_number 119
_symmetry_space_group_name_Hall 'I -4 -2'
_cell_length_a 4.352
_cell_length_b 4.352
_cell_length_c 8.568
_cell_angle_alpha 90.00
_cell_angle_beta 90.00
_cell_angle_gamma 90.00
loop_
_atom_site_label
_atom_site_fract_x
_atom_site_fract_y
_atom_site_fract_z
_atom_site_occupancy
Mg1 0.000 0.000 0.000 1
Zn1 0.000 0.500 0.750 1
Cd1 0.000 0.000 0.500 1
Cd2 0.000 0.500 0.250 1
```

=====

# 11
# PmErFePd

A geometry-optimized PmErFePd structure (PBE-GGA, the Alexandria database).

Output
Formation energy in eV per atom: -0.2576

CIF file:
```
data_PmErFePd
_symmetry_space_group_name_H-M 'F -4 3 m'
_symmetry_Int_Tables_number 216
_symmetry_space_group_name_Hall 'F -4 2 3'
_cell_length_a 6.948
_cell_length_b 6.948
_cell_length_c 6.948
_cell_angle_alpha 90.00
_cell_angle_beta 90.00
_cell_angle_gamma 90.00
loop_
_atom_site_label
_atom_site_fract_x
_atom_site_fract_y
_atom_site_fract_z
_atom_site_occupancy
Pm1 0.000 0.000 0.000 1
Er1 0.000 0.000 0.500 1
Fe1 0.250 0.250 0.250 1
Pd1 0.250 0.250 0.750 1
```

=====

# 12
# TbMgZrIr

A geometry-optimized TbMgZrIr structure (PBE-GGA, the Alexandria database).

Output
Formation energy in eV per atom: -0.3402

CIF file:
```
data_TbMgZrIr
_symmetry_space_group_name_H-M 'F -4 3 m'
_symmetry_Int_Tables_number 216
_symmetry_space_group_name_Hall 'F -4 2 3'
_cell_length_a 6.936
_cell_length_b 6.936
_cell_length_c 6.936
_cell_angle_alpha 90.00
_cell_angle_beta 90.00
_cell_angle_gamma 90.00
loop_
_atom_site_label
_atom_site_fract_x
_atom_site_fract_y
_atom_site_fract_z
_atom_site_occupancy
Tb1 0.000 0.000 0.000 1
Mg1 0.250 0.250 0.750 1
Zr1 0.000 0.000 0.500 1
Ir1 0.250 0.250 0.250 1
```

=====

no.,spin magnetization (Bohr magnetons per cell)
1,32.11
2,0.00
3,0.00
4,0.03
5,0.00
6,3.28
7,0.00
8,0.00
9,9.05
10,0.00
11,3.70
12,0.00